1.
Ce2PuSc3Se6 | PBE | relaxed

Calculated total energy in eV for the cell shown: -86.046
Uncorrected formation energy in meV per atom: -1662
Calculated density in g/cm³: 6.78

a = 9.0626 Å, b = 9.0626 Å, c = 8.1440 Å
α = 104.49°, β = 104.49°, γ = 25.41°
Last column: nearest neighbours and their distance in Å.
Fractional positions:
Ce 0.1665 0.1665 0.3334  6 Se 2.95-2.96
Ce 0.8335 0.8335 0.6666  6 Se 2.95-2.96
Pu 0.5000 0.5000 0.0000  6 Se 2.93-2.94
Sc 0.1663 0.1663 0.8333  6 Se 2.74-2.78
Sc 0.5000 0.5000 0.5000  6 Se 2.75-2.77
Sc 0.8337 0.8337 0.1667  6 Se 2.74-2.78
Se 0.0058 0.0058 0.7394  3 Sc 2.74-2.77, 2 Pu 2.93, 1 Ce 2.95
Se 0.3287 0.3287 0.9321  3 Sc 2.75-2.78, 1 Pu 2.94, 2 Ce 2.96
Se 0.3394 0.3394 0.4016  3 Sc 2.75, 3 Ce 2.96
Se 0.6606 0.6606 0.5984  3 Sc 2.75, 3 Ce 2.96
Se 0.6713 0.6713 0.0679  3 Sc 2.75-2.78, 1 Pu 2.94, 2 Ce 2.96
Se 0.9942 0.9942 0.2606  3 Sc 2.74-2.77, 2 Pu 2.93, 1 Ce 2.95



2.
CePuScSn | PBE | relaxed

Calculated total energy in eV for the cell shown: -31.476
Energy of formation in meV/atom: -218.9
Calculated density in g/cm³: 9.24

a = 5.1829 Å, b = 5.1829 Å, c = 5.1829 Å
α = 60.00°, β = 60.00°, γ = 60.00°
Last column: nearest neighbours and their distance in Å.
Fractional positions:
Ce 0.0000 0.0000 0.0000  4 Pu 3.17, 4 Sc 3.17
Pu 0.7500 0.7500 0.7500  4 Ce 3.17, 4 Sn 3.17
Sc 0.2500 0.2500 0.2500  4 Ce 3.17, 4 Sn 3.17
Sn 0.5000 0.5000 0.5000  4 Sc 3.17, 4 Pu 3.17